No. 1
A geometry-optimized Nd2BrCl5 structure. Source: Alexandria via LeMat-Bulk, functional PBE.

Cell: 4.665 7.285 7.285 Å, 71.36 71.33 71.33°
Element x y z (fractional)
Br: 0.000 0.000 0.000
Cl: 0.667 0.148 0.519
Nd: 0.247 0.253 0.253
Cl: 0.333 0.481 0.852
Nd: 0.753 0.747 0.747
Cl: 0.333 0.852 0.481
Cl: 0.000 0.500 0.500
Cl: 0.667 0.519 0.148

- E_tot (eV/atom) = -4.62
- magnetization (μB/atom) = 0.004
- energy relative to the elements, uncorrected (meV/atom) = -2067


No. 2
A geometry-optimized CsSbI2 structure. Source: Alexandria via LeMat-Bulk, functional PBE.

Cell: 6.248 6.248 6.248 Å, 60.00 60.00 60.00°
Element x y z (fractional)
I: 0.750 0.750 0.750
Sb: 0.000 0.000 0.000
Cs: 0.500 0.500 0.500
I: 0.250 0.250 0.250

- E_tot (eV/atom) = -2.29
- magnetization (μB/atom) = 0.500
- energy relative to the elements, uncorrected (meV/atom) = -273


No. 3
A geometry-optimized Zn2InSi structure. Source: Alexandria via LeMat-Bulk, functional PBE.

Cell: 3.110 3.110 7.638 Å, 90.00 90.00 89.91°
Element x y z (fractional)
Zn: 0.000 0.000 0.960
In: 0.500 0.500 0.250
Zn: 0.000 0.000 0.540
Si: 0.500 0.500 0.750

- E_tot (eV/atom) = -2.43
- energy relative to the lowest polymorph listed for this composition (eV/atom) = 0.035
- magnetization (μB/atom) = 0.000
- energy relative to the elements, uncorrected (meV/atom) = 247


No. 4
A geometry-optimized Tl2CdRhW structure. Source: Alexandria via LeMat-Bulk, functional PBE.

Cell: 5.219 4.906 5.219 Å, 90.00 90.00 90.00°
Element x y z (fractional)
Rh: 0.000 0.500 0.000
Tl: 0.500 0.000 0.000
Cd: 0.000 0.000 0.000
Tl: 0.000 0.000 0.500
W: 0.500 0.500 0.500

- E_tot (eV/atom) = -3.16
- energy of formation (meV per atom) = 2026
- magnetization (μB/atom) = 0.046


No. 5
A geometry-optimized CaLu2 structure. Source: Alexandria via LeMat-Bulk, functional PBE.

Cell: 6.637 6.637 6.637 Å, 60.00 60.00 60.00°
Element x y z (fractional)
Lu: 0.625 0.125 0.625
Lu: 0.625 0.625 0.625
Lu: 0.625 0.625 0.125
Ca: 0.250 0.250 0.250
Ca: 0.000 0.000 0.000
Lu: 0.125 0.625 0.625

- E_tot (eV/atom) = -3.48
- energy of formation (meV per atom) = 198
- energy relative to the lowest polymorph listed for this composition (eV/atom) = 0.092
- magnetization (μB/atom) = 0.004


No. 6
A geometry-optimized Pm5Pr2Nd5 structure. Source: Alexandria via LeMat-Bulk, functional PBE.

Cell: 5.190 8.227 11.033 Å, 72.64 76.40 71.61°
Element x y z (fractional)
Nd: 0.000 0.000 0.000
Nd: 0.833 0.834 0.500
Pr: 0.083 0.584 0.250
Pm: 0.417 0.917 0.250
Pm: 0.583 0.083 0.750
Nd: 0.751 0.249 0.249
Pm: 0.500 0.500 0.500
Pm: 0.333 0.333 0.000
Pm: 0.667 0.667 0.000
Pr: 0.917 0.416 0.750
Nd: 0.167 0.166 0.500
Nd: 0.249 0.751 0.751

- E_tot (eV/atom) = -4.75
- energy of formation (meV per atom) = 13
- magnetization (μB/atom) = 0.000